1.
An optimized crystal structure of Hf2BiN. Source: the Open Quantum Materials Database, functional PBE.

abc: 6.0022 6.0022 14.0245
angles: 102.34 102.34 60.09
Positions (direct):
1 Bi 0.4165 0.2501 0.2500
2 Bi 0.0832 0.9168 0.2500
3 Bi 0.7499 0.5835 0.2500
4 Bi 0.2501 0.4165 0.7500
5 Bi 0.9168 0.0832 0.7500
6 Bi 0.5835 0.7499 0.7500
7 Hf 0.6935 0.8605 0.0810
8 Hf 0.0267 0.1940 0.0810
9 Hf 0.3602 0.5273 0.0810
10 Hf 0.4727 0.6398 0.4190
11 Hf 0.8060 0.9733 0.4190
12 Hf 0.1395 0.3065 0.4190
13 Hf 0.8605 0.6935 0.5810
14 Hf 0.1940 0.0267 0.5810
15 Hf 0.5273 0.3602 0.5810
16 Hf 0.6398 0.4727 0.9190
17 Hf 0.9733 0.8060 0.9190
18 Hf 0.3065 0.1395 0.9190
19 N 0.6666 0.1666 0.0000
20 N 0.0000 0.5000 0.0000
21 N 0.3334 0.8334 0.0000
22 N 0.1666 0.6666 0.5000
23 N 0.5000 0.0000 0.5000
24 N 0.8334 0.3334 0.5000

Values from the calculation:
Crystal system = hexagonal
Electronic total energy = -8.881 eV per atom
Volume = 424.4 Å³/cell


2.
An optimized crystal structure of Hf4BiPbN2. Source: the Open Quantum Materials Database, functional PBE.

abc: 3.3751 3.3751 14.2036
angles: 90.00 90.00 120.00
Positions (direct):
1 Bi 0.0000 0.0000 0.0000
2 Hf 0.6667 0.3333 0.1666
3 Hf 0.0000 0.0000 0.3300
4 Hf 0.0000 0.0000 0.6700
5 Hf 0.6667 0.3333 0.8334
6 N 0.3333 0.6667 0.2489
7 N 0.3333 0.6667 0.7511
8 Pb 0.6667 0.3333 0.5000

Values from the calculation:
Crystal system = hexagonal
Electronic total energy = -8.851 eV per atom
Volume = 140.1 Å³/cell


3.
An optimized crystal structure of Hf4Sc2Bi3N3. Source: the Open Quantum Materials Database, functional PBE.

abc: 5.9017 5.9058 14.4643
angles: 89.96 78.23 60.02
Positions (direct):
1 Bi 0.0019 0.5834 0.2489
2 Bi 0.6687 0.2500 0.2500
3 Bi 0.3343 0.9166 0.2511
4 Bi 0.6657 0.0834 0.7489
5 Bi 0.3313 0.7500 0.7500
6 Bi 0.9981 0.4166 0.7511
7 Hf 0.1182 0.8598 0.0799
8 Hf 0.7760 0.5310 0.0800
9 Hf 0.8869 0.9691 0.4200
10 Hf 0.5579 0.6402 0.4201
11 Hf 0.4421 0.3598 0.5799
12 Hf 0.1131 0.0309 0.5800
13 Hf 0.2240 0.4690 0.9200
14 Hf 0.8818 0.1402 0.9201
15 N 0.1617 0.1692 0.0000
16 N 0.5000 0.5000 0.0000
17 N 0.8383 0.8308 0.0000
18 N 0.1691 0.6691 0.5000
19 N 0.5000 0.0000 0.5000
20 N 0.8309 0.3309 0.5000
21 Sc 0.4450 0.1894 0.0829
22 Sc 0.2173 0.3106 0.4171
23 Sc 0.7827 0.6894 0.5829
24 Sc 0.5550 0.8106 0.9171

Values from the calculation:
Crystal system = monoclinic
Electronic total energy = -8.409 eV per atom
Volume = 424.5 Å³/cell


4.
An optimized crystal structure of Hf2Sc4Bi3N3. Source: the Open Quantum Materials Database, functional PBE.

abc: 5.8785 5.8785 14.6122
angles: 101.64 101.64 60.02
Positions (direct):
1 Bi 0.7481 0.5844 0.2490
2 Bi 0.0826 0.9174 0.2500
3 Bi 0.4156 0.2519 0.2510
4 Bi 0.5844 0.7481 0.7490
5 Bi 0.9174 0.0826 0.7500
6 Bi 0.2519 0.4156 0.7510
7 Hf 0.3540 0.5264 0.0783
8 Hf 0.4736 0.6460 0.4217
9 Hf 0.5264 0.3540 0.5783
10 Hf 0.6460 0.4736 0.9217
11 N 0.6624 0.1753 0.0000
12 N 0.0000 0.5000 0.0000
13 N 0.3376 0.8247 0.0000
14 N 0.1753 0.6624 0.5000
15 N 0.5000 0.0000 0.5000
16 N 0.8247 0.3376 0.5000
17 Sc 0.0324 0.1880 0.0806
18 Sc 0.6931 0.8665 0.0807
19 Sc 0.1335 0.3069 0.4193
20 Sc 0.8120 0.9676 0.4194
21 Sc 0.1880 0.0324 0.5806
22 Sc 0.8665 0.6931 0.5807
23 Sc 0.3069 0.1335 0.9193
24 Sc 0.9676 0.8120 0.9194

Values from the calculation:
Crystal system = monoclinic
Electronic total energy = -7.930 eV per atom
Volume = 425.3 Å³/cell


5.
An optimized crystal structure of Hf4SnBiN2. Source: the Open Quantum Materials Database, functional PBE.

abc: 3.3295 3.3295 14.2941
angles: 90.00 90.00 120.00
Positions (direct):
1 Bi 0.6667 0.3333 0.5000
2 Hf 0.6667 0.3333 0.1646
3 Hf 0.0000 0.0000 0.3323
4 Hf 0.0000 0.0000 0.6677
5 Hf 0.6667 0.3333 0.8354
6 N 0.3333 0.6667 0.2484
7 N 0.3333 0.6667 0.7516
8 Sn 0.0000 0.0000 0.0000

Values from the calculation:
Crystal system = hexagonal
Electronic total energy = -8.968 eV per atom
Volume = 137.2 Å³/cell


6.
An optimized crystal structure of Hf2Ta4Bi3N3. Source: the Open Quantum Materials Database, functional PBE.

abc: 5.9752 5.9753 13.7889
angles: 77.70 77.70 60.01
Positions (direct):
1 Bi 0.4189 0.2397 0.2484
2 Bi 0.0759 0.9241 0.2500
3 Bi 0.7603 0.5811 0.2516
4 Bi 0.2397 0.4189 0.7484
5 Bi 0.9241 0.0759 0.7500
6 Bi 0.5811 0.7603 0.7516
7 Hf 0.4748 0.6526 0.0810
8 Hf 0.3473 0.5252 0.4190
9 Hf 0.6527 0.4748 0.5810
10 Hf 0.5252 0.3474 0.9190
11 N 0.5000 0.0000 0.0000
12 N 0.8092 0.3445 0.0000
13 N 0.1908 0.6555 0.0000
14 N 0.3445 0.8092 0.4999
15 N 0.0000 0.5000 0.5000
16 N 0.6555 0.1908 0.5001
17 Ta 0.8277 0.9532 0.0735
18 Ta 0.1210 0.3080 0.0737
19 Ta 0.6920 0.8790 0.4263
20 Ta 0.0469 0.1723 0.4265
21 Ta 0.9531 0.8277 0.5735
22 Ta 0.3080 0.1210 0.5737
23 Ta 0.8790 0.6920 0.9263
24 Ta 0.1723 0.0468 0.9265

Values from the calculation:
Crystal system = monoclinic
Electronic total energy = -9.088 eV per atom
Volume = 413.3 Å³/cell


7.
An optimized crystal structure of Hf4TlBiN2. Source: the Open Quantum Materials Database, functional PBE.

abc: 3.3450 3.3450 14.3666
angles: 90.00 90.00 120.00
Positions (direct):
1 Bi 0.0000 0.0000 0.0000
2 Hf 0.6667 0.3333 0.1666
3 Hf 0.0000 0.0000 0.3312
4 Hf 0.0000 0.0000 0.6688
5 Hf 0.6667 0.3333 0.8334
6 N 0.3333 0.6667 0.2510
7 N 0.3333 0.6667 0.7490
8 Tl 0.6667 0.3333 0.5000

Values from the calculation:
Crystal system = hexagonal
Electronic total energy = -8.700 eV per atom
Volume = 139.2 Å³/cell


8.
An optimized crystal structure of Y4Hf2Bi3N3. Source: the Open Quantum Materials Database, functional PBE.

abc: 6.1137 6.1137 15.2678
angles: 101.71 101.71 60.07
Positions (direct):
1 Bi 0.7323 0.5836 0.2478
2 Bi 0.1015 0.8985 0.2500
3 Bi 0.4164 0.2677 0.2522
4 Bi 0.5836 0.7323 0.7478
5 Bi 0.8985 0.1015 0.7500
6 Bi 0.2677 0.4164 0.7522
7 Hf 0.3503 0.5259 0.0753
8 Hf 0.4741 0.6497 0.4247
9 Hf 0.5259 0.3503 0.5753
10 Hf 0.6497 0.4741 0.9247
11 N 0.6520 0.1965 0.0000
12 N 0.0000 0.5000 0.0000
13 N 0.3480 0.8035 0.0000
14 N 0.1965 0.6520 0.5000
15 N 0.5000 0.0000 0.5000
16 N 0.8035 0.3480 0.5000
17 Y 0.0377 0.1884 0.0868
18 Y 0.6960 0.8714 0.0868
19 Y 0.1286 0.3040 0.4132
20 Y 0.8116 0.9623 0.4132
21 Y 0.1884 0.0377 0.5868
22 Y 0.8714 0.6960 0.5868
23 Y 0.3040 0.1286 0.9132
24 Y 0.9623 0.8116 0.9132

Values from the calculation:
Crystal system = monoclinic
Electronic total energy = -7.932 eV per atom
Volume = 480.8 Å³/cell


9.
An optimized crystal structure of Hf3ZrBi2N2. Source: the Open Quantum Materials Database, functional PBE.

abc: 3.4850 3.4850 13.5985
angles: 90.00 90.00 120.00
Positions (direct):
1 Bi 0.0000 0.0000 0.2504
2 Bi 0.3333 0.6667 0.7477
3 Hf 0.3333 0.6667 0.0807
4 Hf 0.3333 0.6667 0.4188
5 Hf 0.0000 0.0000 0.5798
6 N 0.6667 0.3333 0.0055
7 N 0.6667 0.3333 0.4990
8 Zr 0.0000 0.0000 0.9181

Values from the calculation:
Crystal system = trigonal
Electronic total energy = -8.743 eV per atom
Volume = 143.0 Å³/cell


10.
An optimized crystal structure of NaHf3Bi5. Source: the Open Quantum Materials Database, functional PBE.

abc: 6.0358 6.0358 9.0912
angles: 90.00 90.00 120.00
Positions (direct):
1 Bi 0.6667 0.3333 0.2156
2 Bi 0.3333 0.6667 0.2156
3 Bi 0.0000 0.0000 0.5000
4 Bi 0.6667 0.3333 0.7844
5 Bi 0.3333 0.6667 0.7844
6 Hf 0.5000 0.0000 0.5000
7 Hf 0.0000 0.5000 0.5000
8 Hf 0.5000 0.5000 0.5000
9 Na 0.0000 0.0000 0.0000

Values from the calculation:
Crystal system = hexagonal
Electronic total energy = -5.850 eV per atom
Volume = 286.8 Å³/cell


11.
An optimized crystal structure of NaHfBi. Source: the Open Quantum Materials Database, functional PBE.

abc: 4.9400 4.9400 4.9400
angles: 60.00 60.00 60.00
Positions (direct):
1 Bi 0.0000 0.0000 0.0000
2 Hf 0.2500 0.2500 0.2500
3 Na 0.7500 0.7500 0.7500

Values from the calculation:
Crystal system = cubic
Electronic total energy = -4.679 eV per atom
Energy above the most stable polymorph in this dataset = 0.00 eV/f.u.
Volume = 85.2 Å³/cell


12.
An optimized crystal structure of HfNbBi2. Source: the Open Quantum Materials Database, functional PBE.

abc: 5.1165 5.1165 5.1165
angles: 60.00 60.00 60.00
Site moments in Bohr magnetons follow the coordinates.
Positions (direct):
1 Bi 0.0000 0.0000 0.0000  -0.02
2 Bi 0.7500 0.7500 0.7500  -0.01
3 Hf 0.2500 0.2500 0.2500  0.20
4 Nb 0.5000 0.5000 0.5000  0.54

Values from the calculation:
Crystal system = cubic
Electronic total energy = -6.602 eV per atom
Volume = 94.7 Å³/cell


Which of these has the highest volume?
Y4Hf2Bi3N3


The highest volume belongs to which entry?
Y4Hf2Bi3N3


Repeat the tenth record exactly.
An optimized crystal structure of NaHf3Bi5. Source: the Open Quantum Materials Database, functional PBE.

abc: 6.0358 6.0358 9.0912
angles: 90.00 90.00 120.00
Positions (direct):
1 Bi 0.6667 0.3333 0.2156
2 Bi 0.3333 0.6667 0.2156
3 Bi 0.0000 0.0000 0.5000
4 Bi 0.6667 0.3333 0.7844
5 Bi 0.3333 0.6667 0.7844
6 Hf 0.5000 0.0000 0.5000
7 Hf 0.0000 0.5000 0.5000
8 Hf 0.5000 0.5000 0.5000
9 Na 0.0000 0.0000 0.0000

Values from the calculation:
Crystal system = hexagonal
Electronic total energy = -5.850 eV per atom
Volume = 286.8 Å³/cell


Number 5 is which compound?
Hf4SnBiN2